# 1
Here is a geometry-optimized CaLaBi structure from Alexandria via LeMat-Bulk. Energies are from PBE.

Space group: Cmcm
D(E_F) (states/eV per cell): 8.795
Total DFT energy (no corrections) (eV/atom): -4.272
Volume (Å³/cell): 427.1
Distance to the lowest polymorph of the same formula (kJ per mole of atoms): 0.00
Energy relative to the elements (eV/f.u.): -2.01

abc: 4.498 14.473 6.560
angles: 90.00 90.00 90.00
Fractional positions:
Ca 0.000 0.204 0.250
Ca 0.000 0.796 0.750
Ca 0.500 0.296 0.750
Ca 0.500 0.704 0.250
La 0.000 0.500 0.000
La 0.000 0.500 0.500
La 0.500 0.000 0.000
La 0.500 0.000 0.500
Bi 0.000 0.136 0.750
Bi 0.000 0.864 0.250
Bi 0.500 0.364 0.250
Bi 0.500 0.636 0.750

# 2
Here is a geometry-optimized Ca2La2Bi structure from Alexandria via LeMat-Bulk. Energies are from PBE.

Space group: P4/mbm
D(E_F) (states/eV per cell): 10.767
Total DFT energy (no corrections) (eV/atom): -3.725
Volume (Å³/cell): 390.5
Distance to the lowest polymorph of the same formula (kJ per mole of atoms): 0.00
Energy relative to the elements (eV/f.u.): -0.88

abc: 8.265 8.265 5.716
angles: 90.00 90.00 90.00
Fractional positions:
Ca 0.166 0.334 0.000
Ca 0.334 0.834 0.000
Ca 0.666 0.166 0.000
Ca 0.834 0.666 0.000
La 0.132 0.632 0.500
La 0.368 0.132 0.500
La 0.632 0.868 0.500
La 0.868 0.368 0.500
Bi 0.000 0.000 0.500
Bi 0.500 0.500 0.500

# 3
Here is a geometry-optimized Ca2La2Bi structure from Alexandria via LeMat-Bulk. Energies are from PBE.

Space group: P4/mbm
D(E_F) (states/eV per cell): 14.970
Total DFT energy (no corrections) (eV/atom): -3.674
Volume (Å³/cell): 364.5
Distance to the lowest polymorph of the same formula (kJ per mole of atoms): 4.94
Energy relative to the elements (eV/f.u.): -0.63

abc: 8.372 8.372 5.201
angles: 90.00 90.00 90.00
Fractional positions:
Ca 0.150 0.350 0.000
Ca 0.350 0.850 0.000
Ca 0.650 0.150 0.000
Ca 0.850 0.650 0.000
La 0.153 0.653 0.500
La 0.347 0.153 0.500
La 0.653 0.847 0.500
La 0.847 0.347 0.500
Bi 0.000 0.000 0.000
Bi 0.500 0.500 0.000

# 4
Here is a geometry-optimized CaLaBi structure from Alexandria via LeMat-Bulk. Energies are from PBE.

Space group: P3m1
D(E_F) (states/eV per cell): 1.829
Total DFT energy (no corrections) (eV/atom): -4.091
Volume (Å³/cell): 104.4
Distance to the lowest polymorph of the same formula (kJ per mole of atoms): 17.53
Energy relative to the elements (eV/f.u.): -1.46

abc: 5.241 5.241 4.391
angles: 90.00 90.00 120.00
Fractional positions:
Ca 0.000 0.000 0.000
La 0.333 0.667 0.520
Bi 0.667 0.333 0.077

# 5
Here is a geometry-optimized CaLa2Bi3 structure from Alexandria via LeMat-Bulk. Energies are from PBE.

Space group: C2/c
D(E_F) (states/eV per cell): 9.324
Total DFT energy (no corrections) (eV/atom): -4.807
Volume (Å³/cell): 437.3
Energy relative to the elements (eV/f.u.): -5.34

abc: 8.116 8.116 9.392
angles: 106.81 106.81 48.19
Fractional positions:
Ca 0.001 0.999 0.750
Ca 0.999 0.001 0.250
La 0.334 0.334 0.417
La 0.334 0.334 0.917
La 0.666 0.666 0.083
La 0.666 0.666 0.583
Bi 0.169 0.169 0.084
Bi 0.169 0.169 0.584
Bi 0.499 0.501 0.250
Bi 0.501 0.499 0.750
Bi 0.831 0.831 0.416
Bi 0.831 0.831 0.916

# 6
Here is a geometry-optimized CaLa3Bi4 structure from Alexandria via LeMat-Bulk. Energies are from PBE.

Space group: Pm-3m
D(E_F) (states/eV per cell): 5.727
Total DFT energy (no corrections) (eV/atom): -4.969
Volume (Å³/cell): 292.1
Energy relative to the elements (eV/f.u.): -7.44

abc: 6.635 6.635 6.635
angles: 90.00 90.00 90.00
Fractional positions:
Ca 0.000 0.000 0.000
La 0.000 0.500 0.500
La 0.500 0.000 0.500
La 0.500 0.500 0.000
Bi 0.000 0.000 0.500
Bi 0.000 0.500 0.000
Bi 0.500 0.000 0.000
Bi 0.500 0.500 0.500

# 7
Here is a geometry-optimized CaLaBi structure from Alexandria via LeMat-Bulk. Energies are from PBE.

Space group: I4mm
D(E_F) (states/eV per cell): 3.516
Total DFT energy (no corrections) (eV/atom): -4.109
Volume (Å³/cell): 203.4
Distance to the lowest polymorph of the same formula (kJ per mole of atoms): 15.81
Energy relative to the elements (eV/f.u.): -1.52

abc: 4.243 4.243 11.296
angles: 90.00 90.00 90.00
Fractional positions:
Ca 0.000 0.000 0.000
Ca 0.500 0.500 0.500
La 0.000 0.000 0.300
La 0.500 0.500 0.800
Bi 0.000 0.000 0.644
Bi 0.500 0.500 0.144

# 8
Here is a geometry-optimized CaLa2Bi4 structure from Alexandria via LeMat-Bulk. Energies are from PBE.

Space group: I4/mmm
D(E_F) (states/eV per cell): 12.166
Total DFT energy (no corrections) (eV/atom): -4.246
Volume (Å³/cell): 546.3
Energy relative to the elements (eV/f.u.): -2.34

abc: 5.802 5.802 16.227
angles: 90.00 90.00 90.00
Fractional positions:
Ca 0.000 0.000 0.000
Ca 0.500 0.500 0.500
La 0.000 0.000 0.388
La 0.000 0.000 0.612
La 0.500 0.500 0.112
La 0.500 0.500 0.888
Bi 0.000 0.000 0.191
Bi 0.000 0.000 0.809
Bi 0.000 0.500 0.000
Bi 0.000 0.500 0.500
Bi 0.500 0.000 0.000
Bi 0.500 0.000 0.500
Bi 0.500 0.500 0.309
Bi 0.500 0.500 0.691

# 9
Here is a geometry-optimized CaLaBi structure from Alexandria via LeMat-Bulk. Energies are from PBE.

Space group: P2_1/m
D(E_F) (states/eV per cell): 3.948
Total DFT energy (no corrections) (eV/atom): -4.128
Volume (Å³/cell): 233.1
Distance to the lowest polymorph of the same formula (kJ per mole of atoms): 13.95
Energy relative to the elements (eV/f.u.): -1.57

abc: 6.400 4.616 8.366
angles: 90.00 109.40 90.00
Fractional positions:
Ca 0.219 0.250 0.420
Ca 0.781 0.750 0.580
La 0.217 0.250 0.946
La 0.783 0.750 0.054
Bi 0.334 0.750 0.705
Bi 0.666 0.250 0.295

# 10
Here is a geometry-optimized CaLa5Bi3 structure from Alexandria via LeMat-Bulk. Energies are from PBE.

Space group: P6_3/mcm
D(E_F) (states/eV per cell): 25.090
Total DFT energy (no corrections) (eV/atom): -4.893
Volume (Å³/cell): 598.4
Energy relative to the elements (eV/f.u.): -5.75

abc: 9.992 9.992 6.922
angles: 90.00 90.00 120.00
Fractional positions:
Ca 0.000 0.000 0.000
Ca 0.000 0.000 0.500
La 0.000 0.317 0.250
La 0.000 0.683 0.750
La 0.317 0.000 0.250
La 0.317 0.317 0.750
La 0.333 0.667 0.000
La 0.333 0.667 0.500
La 0.667 0.333 0.000
La 0.667 0.333 0.500
La 0.683 0.000 0.750
La 0.683 0.683 0.250
Bi 0.000 0.350 0.750
Bi 0.000 0.650 0.250
Bi 0.350 0.000 0.750
Bi 0.350 0.350 0.250
Bi 0.650 0.000 0.250
Bi 0.650 0.650 0.750

# 11
Here is a geometry-optimized CaLa3Bi2 structure from Alexandria via LeMat-Bulk. Energies are from PBE.

Space group: P-4m2
D(E_F) (states/eV per cell): 6.520
Total DFT energy (no corrections) (eV/atom): -4.764
Volume (Å³/cell): 208.4
Energy relative to the elements (eV/f.u.): -4.04

abc: 4.760 4.760 9.196
angles: 90.00 90.00 90.00
Fractional positions:
Ca 0.000 0.000 0.000
La 0.000 0.500 0.353
La 0.500 0.000 0.647
La 0.500 0.500 0.000
Bi 0.000 0.500 0.721
Bi 0.500 0.000 0.279

# 12
Here is a geometry-optimized Ca3LaBi structure from Alexandria via LeMat-Bulk. Energies are from PBE.

Space group: Pm-3m
D(E_F) (states/eV per cell): 5.128
Total DFT energy (no corrections) (eV/atom): -2.212
Volume (Å³/cell): 193.9
Energy relative to the elements (eV/f.u.): 3.75

abc: 5.788 5.788 5.788
angles: 90.00 90.00 90.00
Fractional positions:
Ca 0.000 0.000 0.500
Ca 0.000 0.500 0.000
Ca 0.500 0.000 0.000
La 0.000 0.000 0.000
Bi 0.500 0.500 0.500

> Look up the total DFT energy (no corrections) of the fourth one.

-4.091 eV/atom